No. 1
! Sr2SiTc, relaxed, DFT PBE-GGA; values from VASP
! Symmetry ... Amm2 (38)
&SYSTEM
  ibrav = 0, nat = 4, ntyp = 3
/
ATOMIC_SPECIES
Si 28.09 Si.upf
Sr 87.62 Sr.upf
Tc 98.00 Tc.upf
ATOMIC_POSITIONS angstrom
Si 2.0761 4.4444 4.2511
Sr 2.0761 2.0739 1.9937
Sr 0.0000 6.8148 5.2854
Tc 0.0000 4.4440 3.1203
CELL_PARAMETERS angstrom
4.1523 0.0000 0.0000
0.0000 4.7413 0.0005
0.0000 2.3695 5.8597

=====

No. 2
! SrSi2Tc, relaxed, DFT PBE-GGA; values from VASP
! Symmetry ... I4_1/amd (141)
&SYSTEM
  ibrav = 0, nat = 8, ntyp = 3
/
ATOMIC_SPECIES
Si 28.09 Si.upf
Tc 98.00 Tc.upf
Sr 87.62 Sr.upf
ATOMIC_POSITIONS angstrom
Si 5.1891 3.8899 1.9055
Si 5.1840 1.2966 1.9055
Si 3.8899 2.5959 5.7165
Si 6.4832 2.5907 5.7165
Tc 0.0000 0.0000 0.0000
Tc 5.1866 2.5933 3.8110
Sr 2.5933 5.1866 3.8110
Sr 2.5933 2.5933 0.0000
CELL_PARAMETERS angstrom
5.1866 0.0000 0.0000
0.0000 5.1866 0.0000
2.5933 2.5933 7.6220

=====

Raw total energy per entry: -4.77; -5.91 eV per atom
Calculated density per entry: 4.34; 3.92 g/cm3
ΔE_f (raw) per entry: 0.02; -0.18 eV/atom